P:
Below is a relaxed Co2HgBr crystal, with properties calculated at the PBE level.

Summary:
DOS at the Fermi energy in states/eV/f.u.: 8.15
Magnetization in μB/atom: 0.885

Lattice parameters (Å, degrees): 3.163 5.672 4.163 90.00 90.00 90.00
Each line ends with the local moment (μB).
Fractional positions:
Co  0.000  0.000  0.000  1.67
Hg  0.500  0.000  0.500  -0.04
Co  0.500  0.500  0.000  1.92
Br  0.000  0.500  0.500  0.09

Q:
Below is a relaxed Co2HgBr crystal, with properties calculated at the PBE level.

Summary:
DOS at the Fermi energy in states/eV/f.u.: 9.04
Magnetization in μB/atom: 0.915

Lattice parameters (Å, degrees): 5.284 5.284 3.177 72.15 72.15 105.73
Each line ends with the local moment (μB).
Fractional positions:
Co  0.500  0.500  0.000  1.83
Br  0.000  0.500  0.500  0.08
Co  0.000  0.000  0.000  1.83
Hg  0.500  0.000  0.500  -0.01

The winner here is P, beating the second structure by 3.3 kJ/mol of atoms.

P:
Below is a relaxed NaPr2Ag crystal, with properties calculated at the PBE level.

Summary:
DOS at the Fermi energy in states/eV/f.u.: 4.88
Magnetization in μB/atom: 0.000

Lattice parameters (Å, degrees): 3.556 3.556 10.082 90.00 90.00 90.00
Fractional positions:
Pr  0.000  0.000  0.202
Ag  0.500  0.500  0.000
Na  0.500  0.500  0.500
Pr  0.000  0.000  0.798

Q:
Below is a relaxed NaPr2Ag crystal, with properties calculated at the PBE level.

Summary:
DOS at the Fermi energy in states/eV/f.u.: 5.40
Magnetization in μB/atom: 0.206

Lattice parameters (Å, degrees): 5.506 5.506 5.506 60.00 60.00 60.00
Each line ends with the local moment (μB).
Fractional positions:
Na  0.500  0.500  0.500  0.00
Ag  0.000  0.000  0.000  0.03
Pr  0.250  0.250  0.250  0.19
Pr  0.750  0.750  0.750  0.19

The winner here is P, beating the second structure by 6.8 kJ/mol of atoms.